## CrBiAsO5 (GGA+U)

Data for an optimized crystal structure of CrBiAsO5.

Its raw total energy is -6.484 eV/atom.

It has space group C2/c (No. 15), with a = 6.8004 Å, b = 10.3622 Å, c = 7.0550 Å, α = 90.00°, β = 113.77° and γ = 90.00°. The inequivalent atoms are Cr at (0.0000, 0.0000, 0.0000), Bi at (0.0000, 0.2927, 0.2500), As at (0.0000, 0.3469, 0.7500), O at (0.0000, 0.0925, 0.2500), O at (0.1111, 0.2440, 0.6199) and O at (0.1865, 0.4366, 0.9418).